# NaTbAgSe3 | the Open Quantum Materials Database | PBE-GGA | relaxed
data_NaTbAgSe3
_symmetry_space_group_name_H-M 'C m c m'
_symmetry_Int_Tables_number 63
_symmetry_space_group_name_Hall '-C 2c 2'
_cell_length_a 4.009
_cell_length_b 14.090
_cell_length_c 10.661
_cell_angle_alpha 90.00
_cell_angle_beta 90.00
_cell_angle_gamma 90.00
loop_
_atom_site_label
_atom_site_type_symbol
_atom_site_fract_x
_atom_site_fract_y
_atom_site_fract_z
Na1 Na 0.000 0.241 0.250
Tb1 Tb 0.000 0.000 0.000
Ag1 Ag 0.000 0.469 0.750
Se1 Se 0.000 0.091 0.750
Se2 Se 0.000 0.359 0.555
# Raw total energy = -4.240 eV per atom
# Mass density = 5.81 g cm⁻³

---

# LiFeCuSi | the Open Quantum Materials Database | PBE-GGA | relaxed
data_LiFeCuSi
_symmetry_space_group_name_H-M 'F -4 3 m'
_symmetry_Int_Tables_number 216
_symmetry_space_group_name_Hall 'F -4 2 3'
_cell_length_a 5.559
_cell_length_b 5.559
_cell_length_c 5.559
_cell_angle_alpha 90.00
_cell_angle_beta 90.00
_cell_angle_gamma 90.00
loop_
_atom_site_label
_atom_site_type_symbol
_atom_site_fract_x
_atom_site_fract_y
_atom_site_fract_z
Li1 Li 0.000 0.000 0.000
Fe1 Fe 0.250 0.250 0.250
Cu1 Cu 0.250 0.250 0.750
Si1 Si 0.000 0.000 0.500
# Distance to the lowest polymorph of the same formula = 0.0000 eV per atom
# Raw total energy = -4.979 eV per atom
# Mass density = 5.97 g cm⁻³

---

# RbHgAsO | the Open Quantum Materials Database | PBE-GGA | relaxed
data_RbHgAsO
_symmetry_space_group_name_H-M 'P 4/n m m'
_symmetry_Int_Tables_number 129
_cell_length_a 4.552
_cell_length_b 4.552
_cell_length_c 9.362
_cell_angle_alpha 90.00
_cell_angle_beta 90.00
_cell_angle_gamma 90.00
loop_
_symmetry_equiv_pos_as_xyz
'x,y,z'
'-x,-y,-z'
'-y+1/2,x,z'
'y+1/2,-x,-z'
'-x+1/2,-y+1/2,z'
'x+1/2,y+1/2,-z'
'y,-x+1/2,z'
'-y,x+1/2,-z'
'x+1/2,-y,-z'
'-x+1/2,y,z'
'-y,-x,-z'
'y,x,z'
'-x,y+1/2,-z'
'x,-y+1/2,z'
'y+1/2,x+1/2,-z'
'-y+1/2,-x+1/2,z'
loop_
_atom_site_label
_atom_site_type_symbol
_atom_site_fract_x
_atom_site_fract_y
_atom_site_fract_z
Rb1 Rb 0.250 0.750 0.000
Hg1 Hg 0.250 0.250 0.270
As1 As 0.250 0.250 0.557
O1 O 0.250 0.750 0.500
# Distance to the lowest polymorph of the same formula = 0.3383 eV per atom
# Raw total energy = -2.720 eV per atom
# Mass density = 6.45 g cm⁻³

---

# CsOsAu | the Open Quantum Materials Database | PBE-GGA | relaxed
data_CsOsAu
_symmetry_space_group_name_H-M 'F -4 3 m'
_symmetry_Int_Tables_number 216
_symmetry_space_group_name_Hall 'F -4 2 3'
_cell_length_a 6.879
_cell_length_b 6.879
_cell_length_c 6.879
_cell_angle_alpha 90.00
_cell_angle_beta 90.00
_cell_angle_gamma 90.00
loop_
_atom_site_label
_atom_site_type_symbol
_atom_site_fract_x
_atom_site_fract_y
_atom_site_fract_z
Cs1 Cs 0.000 0.000 0.000
Os1 Os 0.250 0.250 0.750
Au1 Au 0.000 0.000 0.500
# Distance to the lowest polymorph of the same formula = 0.0000 eV per atom
# Raw total energy = -3.293 eV per atom
# Mass density = 10.61 g cm⁻³

---

# Sc2CuAu2 | the Open Quantum Materials Database | PBE-GGA | relaxed
data_Sc2CuAu2
_symmetry_space_group_name_H-M 'I 4/m m m'
_symmetry_Int_Tables_number 139
_symmetry_space_group_name_Hall '-I 4 2'
_cell_length_a 3.780
_cell_length_b 3.780
_cell_length_c 14.708
_cell_angle_alpha 90.00
_cell_angle_beta 90.00
_cell_angle_gamma 90.00
loop_
_atom_site_label
_atom_site_type_symbol
_atom_site_fract_x
_atom_site_fract_y
_atom_site_fract_z
Sc1 Sc 0.000 0.000 0.100
Cu1 Cu 0.000 0.000 0.500
Au1 Au 0.000 0.500 0.250
# ΔE_f = -0.150 eV/atom
# Distance to the lowest polymorph of the same formula = 0.0000 eV per atom
# Raw total energy = -4.731 eV per atom
# Mass density = 8.65 g cm⁻³

---

# KLiNiMo | the Open Quantum Materials Database | PBE-GGA | relaxed
data_KLiNiMo
_symmetry_space_group_name_H-M 'F -4 3 m'
_symmetry_Int_Tables_number 216
_symmetry_space_group_name_Hall 'F -4 2 3'
_cell_length_a 6.396
_cell_length_b 6.396
_cell_length_c 6.396
_cell_angle_alpha 90.00
_cell_angle_beta 90.00
_cell_angle_gamma 90.00
loop_
_atom_site_label
_atom_site_type_symbol
_atom_site_fract_x
_atom_site_fract_y
_atom_site_fract_z
K1 K 0.000 0.000 0.000
Li1 Li 0.250 0.250 0.250
Ni1 Ni 0.000 0.000 0.500
Mo1 Mo 0.250 0.250 0.750
# Distance to the lowest polymorph of the same formula = 0.0059 eV per atom
# Raw total energy = -3.640 eV per atom
# Mass density = 5.09 g cm⁻³

---

# PaGaO3 | the Open Quantum Materials Database | PBE-GGA | relaxed
data_PaGaO3
_symmetry_space_group_name_H-M 'R -3'
_symmetry_Int_Tables_number 148
_symmetry_space_group_name_Hall '-R 3'
_cell_length_a 5.8912
_cell_length_b 5.8912
_cell_length_c 14.1811
_cell_angle_alpha 90.00
_cell_angle_beta 90.00
_cell_angle_gamma 120.00
loop_
_atom_site_label
_atom_site_type_symbol
_atom_site_fract_x
_atom_site_fract_y
_atom_site_fract_z
Pa1 Pa 0.0000 0.0000 0.1387
Ga1 Ga 0.0000 0.0000 0.3695
O1 O 0.0040 0.7122 0.2527
# Raw total energy = -7.380 eV per atom
# Mass density = 8.15 g cm⁻³

---

# MgTlFeIr | the Open Quantum Materials Database | PBE-GGA | relaxed
data_MgTlFeIr
_symmetry_space_group_name_H-M 'F -4 3 m'
_symmetry_Int_Tables_number 216
_symmetry_space_group_name_Hall 'F -4 2 3'
_cell_length_a 6.427
_cell_length_b 6.427
_cell_length_c 6.427
_cell_angle_alpha 90.00
_cell_angle_beta 90.00
_cell_angle_gamma 90.00
loop_
_atom_site_label
_atom_site_type_symbol
_atom_site_fract_x
_atom_site_fract_y
_atom_site_fract_z
Mg1 Mg 0.000 0.000 0.000
Tl1 Tl 0.250 0.250 0.250
Fe1 Fe 0.000 0.000 0.500
Ir1 Ir 0.250 0.250 0.750
# Distance to the lowest polymorph of the same formula = 0.0000 eV per atom
# Raw total energy = -5.043 eV per atom
# Mass density = 11.93 g cm⁻³

---

Q: Look up the raw total energy of the third one.
A: -2.720 eV per atom

---

Q: What is the mass density in the seventh record?
A: 8.15 g cm⁻³